Material: Pr6NdMg
Method: DFT, PBE
State: optimized geometry

Cell and atoms, written as CIF:
```
data_Pr6NdMg
_space_group_name_H-M_alt 'R -3'
_space_group_IT_number 148
_space_group_name_Hall '-R 3'
_cell_length_a 9.8649
_cell_length_b 9.8649
_cell_length_c 9.8879
_cell_angle_alpha 90.00
_cell_angle_beta 90.00
_cell_angle_gamma 120.00
loop_
_atom_site_label
_atom_site_type_symbol
_atom_site_fract_x
_atom_site_fract_y
_atom_site_fract_z
_atom_site_occupancy
Pr1 Pr 0.0218 0.2711 0.2136 1
Nd1 Nd 0.0000 0.0000 0.5000 1
Mg1 Mg 0.0000 0.0000 0.0000 1
```

Values from the calculation:
- Offset from the most stable computed form: 0.0185 eV/atom
- Total DFT energy (no corrections): -4.30 eV/atom
- ΔH_f (0 K): 8.0 kJ per mole of atoms



Material: Rb3NaAs
Method: DFT, PBE
State: optimized geometry

Cell and atoms, written as CIF:
```
data_Rb3NaAs
_space_group_name_H-M_alt 'P m -3 m'
_space_group_IT_number 221
_space_group_name_Hall '-P 4 2 3'
_cell_length_a 6.769
_cell_length_b 6.769
_cell_length_c 6.769
_cell_angle_alpha 90.00
_cell_angle_beta 90.00
_cell_angle_gamma 90.00
loop_
_atom_site_label
_atom_site_type_symbol
_atom_site_fract_x
_atom_site_fract_y
_atom_site_fract_z
_atom_site_occupancy
Rb1 Rb 0.000 0.000 0.500 1
Na1 Na 0.000 0.000 0.000 1
As1 As 0.500 0.500 0.500 1
```

Values from the calculation:
- Total DFT energy (no corrections): -1.36 eV/atom
- ΔH_f (0 K): 39.6 kJ per mole of atoms



Material: TcHg2Cl
Method: DFT, PBE
State: optimized geometry

Cell and atoms, written as CIF:
```
data_TcHg2Cl
_space_group_name_H-M_alt 'I -4 2 d'
_space_group_IT_number 122
_space_group_name_Hall 'I -4 2bw'
_cell_length_a 9.709
_cell_length_b 9.709
_cell_length_c 4.494
_cell_angle_alpha 90.00
_cell_angle_beta 90.00
_cell_angle_gamma 90.00
loop_
_atom_site_label
_atom_site_type_symbol
_atom_site_fract_x
_atom_site_fract_y
_atom_site_fract_z
_atom_site_occupancy
Tc1 Tc 0.000 0.000 0.000 1
Hg1 Hg 0.133 0.750 0.125 1
Cl1 Cl 0.000 0.000 0.500 1
```

Values from the calculation:
- Offset from the most stable computed form: 0.2379 eV/atom
- Total DFT energy (no corrections): -2.76 eV/atom
- Formation energy (no corrections): 447 meV/atom



Material: Sr2ZnCrN4
Method: DFT, PBE
State: optimized geometry

Cell and atoms, written as CIF:
```
data_Sr2ZnCrN4
_space_group_name_H-M_alt 'P m m n'
_space_group_IT_number 59
_cell_length_a 5.702
_cell_length_b 6.892
_cell_length_c 6.103
_cell_angle_alpha 90.00
_cell_angle_beta 90.00
_cell_angle_gamma 90.00
loop_
_space_group_symop_operation_xyz
'x,y,z'
'-x,-y,-z'
'-x+1/2,-y+1/2,z'
'x+1/2,y+1/2,-z'
'x+1/2,-y,-z'
'-x+1/2,y,z'
'-x,y+1/2,-z'
'x,-y+1/2,z'
loop_
_atom_site_label
_atom_site_type_symbol
_atom_site_fract_x
_atom_site_fract_y
_atom_site_fract_z
_atom_site_occupancy
Sr1 Sr 0.250 0.001 0.243 1
Zn1 Zn 0.250 0.250 0.785 1
Cr1 Cr 0.250 0.750 0.809 1
N1 N 0.009 0.750 0.982 1
N2 N 0.250 0.530 0.656 1
```

Values from the calculation:
- Total DFT energy (no corrections): -6.59 eV/atom
- Formation energy (no corrections): -641 meV/atom



Material: Ho6RuSe5
Method: DFT, PBE
State: optimized geometry

Cell and atoms, written as CIF:
```
data_Ho6RuSe5
_space_group_name_H-M_alt 'C 1 2/m 1'
_space_group_IT_number 12
_space_group_name_Hall '-C 2y'
_cell_length_a 7.119
_cell_length_b 12.328
_cell_length_c 7.073
_cell_angle_alpha 90.00
_cell_angle_beta 109.54
_cell_angle_gamma 90.00
loop_
_atom_site_label
_atom_site_type_symbol
_atom_site_fract_x
_atom_site_fract_y
_atom_site_fract_z
_atom_site_occupancy
Ho1 Ho 0.229 0.000 0.264 1
Ho2 Ho 0.232 0.155 0.733 1
Ru1 Ru 0.000 0.000 0.500 1
Se1 Se 0.000 0.177 0.000 1
Se2 Se 0.000 0.335 0.500 1
Se3 Se 0.000 0.500 0.000 1
```

Values from the calculation:
- Total DFT energy (no corrections): -6.03 eV/atom
- Formation energy (no corrections): -1515 meV/atom



Material: KLiCdCl4
Method: DFT, PBE
State: optimized geometry

Cell and atoms, written as CIF:
```
data_KLiCdCl4
_space_group_name_H-M_alt 'P 1 21/m 1'
_space_group_IT_number 11
_space_group_name_Hall '-P 2yb'
_cell_length_a 6.500
_cell_length_b 6.990
_cell_length_c 8.183
_cell_angle_alpha 90.00
_cell_angle_beta 96.41
_cell_angle_gamma 90.00
loop_
_atom_site_label
_atom_site_type_symbol
_atom_site_fract_x
_atom_site_fract_y
_atom_site_fract_z
_atom_site_occupancy
K1 K 0.225 0.250 0.073 1
Li1 Li 0.333 0.250 0.671 1
Cd1 Cd 0.183 0.750 0.417 1
Cl1 Cl 0.084 0.002 0.710 1
Cl2 Cl 0.372 0.750 0.139 1
Cl3 Cl 0.468 0.250 0.420 1
```

Values from the calculation:
- Total DFT energy (no corrections): -3.12 eV/atom
- Formation energy (no corrections): -1504 meV/atom



Material: Y5Tl2HO
Method: DFT, PBE
State: optimized geometry

Cell and atoms, written as CIF:
```
data_Y5Tl2HO
_space_group_name_H-M_alt 'C m c 21'
_space_group_IT_number 36
_space_group_name_Hall 'C 2c -2'
_cell_length_a 3.808
_cell_length_b 18.439
_cell_length_c 12.444
_cell_angle_alpha 90.00
_cell_angle_beta 90.00
_cell_angle_gamma 90.00
loop_
_atom_site_label
_atom_site_type_symbol
_atom_site_fract_x
_atom_site_fract_y
_atom_site_fract_z
_atom_site_occupancy
Y1 Y 0.000 0.008 0.000 1
Y2 Y 0.000 0.170 0.685 1
Y3 Y 0.000 0.187 0.069 1
Y4 Y 0.000 0.219 0.352 1
Y5 Y 0.000 0.455 0.742 1
Tl1 Tl 0.000 0.375 0.992 1
Tl2 Tl 0.000 0.388 0.373 1
H1 H 0.000 0.297 0.712 1
O1 O 0.000 0.072 0.158 1
```

Values from the calculation:
- Total DFT energy (no corrections): -5.90 eV/atom



Material: GeBiCl2
Method: DFT, PBE
State: optimized geometry

Cell and atoms, written as CIF:
```
data_GeBiCl2
_space_group_name_H-M_alt 'R -3 m'
_space_group_IT_number 166
_space_group_name_Hall '-R 3 2"'
_cell_length_a 3.6202
_cell_length_b 3.6202
_cell_length_c 36.1804
_cell_angle_alpha 90.00
_cell_angle_beta 90.00
_cell_angle_gamma 120.00
loop_
_atom_site_label
_atom_site_type_symbol
_atom_site_fract_x
_atom_site_fract_y
_atom_site_fract_z
_atom_site_occupancy
Ge1 Ge 0.0000 0.0000 0.0000 1
Bi1 Bi 0.0000 0.0000 0.5000 1
Cl1 Cl 0.0000 0.0000 0.3787 1
```

Values from the calculation:
- Offset from the most stable computed form: 0.0000 eV/atom
- Total DFT energy (no corrections): -3.35 eV/atom
- Formation energy (no corrections): -305 meV/atom



Material: Ce4Ga12Fe
Method: DFT, PBE
State: optimized geometry

Cell and atoms, written as CIF:
```
data_Ce4Ga12Fe
_space_group_name_H-M_alt 'I m -3 m'
_space_group_IT_number 229
_space_group_name_Hall '-I 4 2 3'
_cell_length_a 8.693
_cell_length_b 8.693
_cell_length_c 8.693
_cell_angle_alpha 90.00
_cell_angle_beta 90.00
_cell_angle_gamma 90.00
loop_
_atom_site_label
_atom_site_type_symbol
_atom_site_fract_x
_atom_site_fract_y
_atom_site_fract_z
_atom_site_occupancy
Ce1 Ce 0.250 0.250 0.250 1
Ga1 Ga 0.000 0.000 0.285 1
Ga2 Ga 0.000 0.250 0.500 1
Fe1 Fe 0.000 0.000 0.000 1
```

Values from the calculation:
- Total DFT energy (no corrections): -4.56 eV/atom
- ΔH_f (0 K): -50.8 kJ per mole of atoms



Material: BaInHg2Bi2
Method: DFT, PBE
State: optimized geometry

Cell and atoms, written as CIF:
```
data_BaInHg2Bi2
_space_group_name_H-M_alt 'P 1 21/m 1'
_space_group_IT_number 11
_space_group_name_Hall '-P 2yb'
_cell_length_a 7.242
_cell_length_b 6.121
_cell_length_c 9.384
_cell_angle_alpha 90.00
_cell_angle_beta 101.70
_cell_angle_gamma 90.00
loop_
_atom_site_label
_atom_site_type_symbol
_atom_site_fract_x
_atom_site_fract_y
_atom_site_fract_z
_atom_site_occupancy
Ba1 Ba 0.075 0.250 0.317 1
In1 In 0.447 0.750 0.787 1
Hg1 Hg 0.229 0.506 0.020 1
Bi1 Bi 0.224 0.250 0.705 1
Bi2 Bi 0.433 0.750 0.445 1
```

Values from the calculation:
- Total DFT energy (no corrections): -2.43 eV/atom
- ΔH_f (0 K): -25.0 kJ per mole of atoms



Material: AlB2P
Method: DFT, PBE
State: optimized geometry

Cell and atoms, written as CIF:
```
data_AlB2P
_space_group_name_H-M_alt 'P 1'
_space_group_IT_number 1
_space_group_name_Hall 'P 1'
_cell_length_a 3.097
_cell_length_b 5.860
_cell_length_c 6.019
_cell_angle_alpha 86.59
_cell_angle_beta 85.57
_cell_angle_gamma 82.70
loop_
_atom_site_label
_atom_site_type_symbol
_atom_site_fract_x
_atom_site_fract_y
_atom_site_fract_z
_atom_site_occupancy
Al1 Al 0.000 0.000 0.000 1
Al2 Al 0.307 0.593 0.352 1
B1 B 0.378 0.215 0.530 1
B2 B 0.776 0.469 0.825 1
B3 B 0.833 0.403 0.537 1
B4 B 0.845 0.192 0.712 1
P1 P 0.228 0.592 0.955 1
P2 P 0.446 0.986 0.303 1
```

Values from the calculation:
- Offset from the most stable computed form: 0.0513 eV/atom
- Total DFT energy (no corrections): -5.56 eV/atom
- ΔH_f (0 K): 6.7 kJ per mole of atoms



Material: FeCuAu2
Method: DFT, PBE
State: optimized geometry

Cell and atoms, written as CIF:
```
data_FeCuAu2
_space_group_name_H-M_alt 'I m m 2'
_space_group_IT_number 44
_space_group_name_Hall 'I 2 -2'
_cell_length_a 2.843
_cell_length_b 4.616
_cell_length_c 9.337
_cell_angle_alpha 90.00
_cell_angle_beta 90.00
_cell_angle_gamma 90.00
loop_
_atom_site_label
_atom_site_type_symbol
_atom_site_fract_x
_atom_site_fract_y
_atom_site_fract_z
_atom_site_occupancy
Fe1 Fe 0.000 0.000 0.000 1
Cu1 Cu 0.000 0.500 0.272 1
Au1 Au 0.000 0.000 0.525 1
Au2 Au 0.000 0.500 0.750 1
```

Values from the calculation:
- Total DFT energy (no corrections): -4.64 eV/atom
- ΔH_f (0 K): 13.8 kJ per mole of atoms



Material: Pr2Ge2Ru
Method: DFT, PBE
State: optimized geometry

Cell and atoms, written as CIF:
```
data_Pr2Ge2Ru
_space_group_name_H-M_alt 'I b a m'
_space_group_IT_number 72
_space_group_name_Hall '-I 2 2c'
_cell_length_a 6.583
_cell_length_b 12.567
_cell_length_c 6.120
_cell_angle_alpha 90.00
_cell_angle_beta 90.00
_cell_angle_gamma 90.00
loop_
_atom_site_label
_atom_site_type_symbol
_atom_site_fract_x
_atom_site_fract_y
_atom_site_fract_z
_atom_site_occupancy
Pr1 Pr 0.201 0.141 0.000 1
Ge1 Ge 0.226 0.395 0.000 1
Ru1 Ru 0.000 0.500 0.250 1
```

Values from the calculation:
- Total DFT energy (no corrections): -6.19 eV/atom
- ΔH_f (0 K): -55.6 kJ per mole of atoms



Material: V5Hg
Method: DFT, PBE
State: optimized geometry

Cell and atoms, written as CIF:
```
data_V5Hg
_space_group_name_H-M_alt 'C m m m'
_space_group_IT_number 65
_space_group_name_Hall '-C 2 2'
_cell_length_a 4.497
_cell_length_b 12.470
_cell_length_c 3.129
_cell_angle_alpha 90.00
_cell_angle_beta 90.00
_cell_angle_gamma 90.00
loop_
_atom_site_label
_atom_site_type_symbol
_atom_site_fract_x
_atom_site_fract_y
_atom_site_fract_z
_atom_site_occupancy
V1 V 0.000 0.000 0.000 1
V2 V 0.000 0.165 0.500 1
V3 V 0.000 0.314 0.000 1
Hg1 Hg 0.000 0.500 0.500 1
```

Values from the calculation:
- Total DFT energy (no corrections): -7.51 eV/atom
- ΔH_f (0 K): 13.9 kJ per mole of atoms



Material: CrReHg2
Method: DFT, PBE
State: optimized geometry

Cell and atoms, written as CIF:
```
data_CrReHg2
_space_group_name_H-M_alt 'R 3 m'
_space_group_IT_number 160
_space_group_name_Hall 'R 3 -2"'
_cell_length_a 3.0225
_cell_length_b 3.0225
_cell_length_c 28.3970
_cell_angle_alpha 90.00
_cell_angle_beta 90.00
_cell_angle_gamma 120.00
loop_
_atom_site_label
_atom_site_type_symbol
_atom_site_fract_x
_atom_site_fract_y
_atom_site_fract_z
_atom_site_occupancy
Cr1 Cr 0.0000 0.0000 0.0000 1
Re1 Re 0.0000 0.0000 0.7218 1
Hg1 Hg 0.0000 0.0000 0.2496 1
Hg2 Hg 0.0000 0.0000 0.4793 1
```

Values from the calculation:
- Offset from the most stable computed form: 0.0418 eV/atom
- Total DFT energy (no corrections): -5.20 eV/atom
- ΔH_f (0 K): 45.4 kJ per mole of atoms



Material: Sr6BiAs2Br3
Method: DFT, PBE
State: optimized geometry

Cell and atoms, written as CIF:
```
data_Sr6BiAs2Br3
_space_group_name_H-M_alt 'C 1 2/m 1'
_space_group_IT_number 12
_space_group_name_Hall '-C 2y'
_cell_length_a 20.280
_cell_length_b 4.658
_cell_length_c 9.258
_cell_angle_alpha 90.00
_cell_angle_beta 102.22
_cell_angle_gamma 90.00
loop_
_atom_site_label
_atom_site_type_symbol
_atom_site_fract_x
_atom_site_fract_y
_atom_site_fract_z
_atom_site_occupancy
Sr1 Sr 0.012 0.000 0.248 1
Sr2 Sr 0.165 0.500 0.116 1
Sr3 Sr 0.177 0.500 0.566 1
Bi1 Bi 0.000 0.500 0.000 1
As1 As 0.168 0.000 0.341 1
Br1 Br 0.000 0.500 0.500 1
Br2 Br 0.170 0.000 0.835 1
```

Values from the calculation:
- Total DFT energy (no corrections): -3.85 eV/atom
- Formation energy (no corrections): -1496 meV/atom



Material: TbPaCN
Method: DFT, PBE
State: optimized geometry

Cell and atoms, written as CIF:
```
data_TbPaCN
_space_group_name_H-M_alt 'R 3 m'
_space_group_IT_number 160
_space_group_name_Hall 'R 3 -2"'
_cell_length_a 3.5879
_cell_length_b 3.5879
_cell_length_c 17.2435
_cell_angle_alpha 90.00
_cell_angle_beta 90.00
_cell_angle_gamma 120.00
loop_
_atom_site_label
_atom_site_type_symbol
_atom_site_fract_x
_atom_site_fract_y
_atom_site_fract_z
_atom_site_occupancy
Tb1 Tb 0.0000 0.0000 0.0000 1
Pa1 Pa 0.0000 0.0000 0.4994 1
C1 C 0.0000 0.0000 0.2422 1
N1 N 0.0000 0.0000 0.7574 1
```

Values from the calculation:
- Total DFT energy (no corrections): -8.97 eV/atom
- Formation energy (no corrections): -1052 meV/atom



Material: ZnAg2Te
Method: DFT, PBE
State: optimized geometry

Cell and atoms, written as CIF:
```
data_ZnAg2Te
_space_group_name_H-M_alt 'R 3 m'
_space_group_IT_number 160
_space_group_name_Hall 'R 3 -2"'
_cell_length_a 3.1259
_cell_length_b 3.1259
_cell_length_c 29.3884
_cell_angle_alpha 90.00
_cell_angle_beta 90.00
_cell_angle_gamma 120.00
loop_
_atom_site_label
_atom_site_type_symbol
_atom_site_fract_x
_atom_site_fract_y
_atom_site_fract_z
_atom_site_occupancy
Zn1 Zn 0.0000 0.0000 0.0000 1
Ag1 Ag 0.0000 0.0000 0.4809 1
Ag2 Ag 0.0000 0.0000 0.7366 1
Te1 Te 0.0000 0.0000 0.2399 1
```

Values from the calculation:
- Offset from the most stable computed form: 0.1561 eV/atom
- Total DFT energy (no corrections): -2.35 eV/atom
- Formation energy (no corrections): 183 meV/atom



Material: CeYCl6
Method: DFT, PBE
State: optimized geometry

Cell and atoms, written as CIF:
```
data_CeYCl6
_space_group_name_H-M_alt 'C 1 2/m 1'
_space_group_IT_number 12
_space_group_name_Hall '-C 2y'
_cell_length_a 6.811
_cell_length_b 12.293
_cell_length_c 6.807
_cell_angle_alpha 90.00
_cell_angle_beta 105.47
_cell_angle_gamma 90.00
loop_
_atom_site_label
_atom_site_type_symbol
_atom_site_fract_x
_atom_site_fract_y
_atom_site_fract_z
_atom_site_occupancy
Ce1 Ce 0.000 0.000 0.000 1
Y1 Y 0.000 0.500 0.500 1
Cl1 Cl 0.238 0.355 0.743 1
Cl2 Cl 0.249 0.500 0.259 1
```

Values from the calculation:
- Total DFT energy (no corrections): -5.15 eV/atom
- Formation energy (no corrections): -2211 meV/atom



Material: Y2ThUN4
Method: DFT, PBE
State: optimized geometry

Cell and atoms, written as CIF:
```
data_Y2ThUN4
_space_group_name_H-M_alt 'P 1 2/m 1'
_space_group_IT_number 10
_space_group_name_Hall '-P 2y'
_cell_length_a 6.076
_cell_length_b 3.510
_cell_length_c 6.110
_cell_angle_alpha 90.00
_cell_angle_beta 109.21
_cell_angle_gamma 90.00
loop_
_atom_site_label
_atom_site_type_symbol
_atom_site_fract_x
_atom_site_fract_y
_atom_site_fract_z
_atom_site_occupancy
Y1 Y 0.000 0.000 0.000 1
Y2 Y 0.000 0.500 0.500 1
Th1 Th 0.500 0.000 0.500 1
U1 U 0.500 0.500 0.000 1
N1 N 0.257 0.500 0.231 1
N2 N 0.261 0.000 0.769 1
```

Values from the calculation:
- Total DFT energy (no corrections): -9.66 eV/atom
- Formation energy (no corrections): -1541 meV/atom